No. 1
The following is a DFT calculation (PBE) of crystalline CrTeSe at its relaxed geometry.

Summary:
SG = No. 107
Volume = 23.62 Å³/atom
DOS(E_F) = 0.428 states/eV/atom
E_form (uncorrected) = -38 meV per atom
Total magnetic moment = 2.931 μB per formula unit
Distance to the lowest polymorph of the same formula = 0.298 eV/atom

Lattice parameters (Å, degrees): 7.262 7.262 7.262 154.50 154.50 36.37
Site moments in Bohr magnetons follow the coordinates.
Fractional positions:
Se: 0.387 0.387 0.000  -0.24
Cr: 0.979 0.979 0.000  3.11
Te: 0.634 0.634 0.000  -0.10



No. 2
The following is a DFT calculation (PBE) of crystalline CrTe2Se at its relaxed geometry.

Summary:
SG = No. 44
Volume = 27.96 Å³/atom
DOS(E_F) = 0.397 states/eV/atom
E_form (uncorrected) = 2 meV per atom
Total magnetic moment = 3.373 μB per formula unit

Lattice parameters (Å, degrees): 6.789 6.789 6.789 147.48 138.00 54.11
Site moments in Bohr magnetons follow the coordinates.
Fractional positions:
Se: 0.353 0.853 0.500  -0.05
Cr: 0.492 0.492 0.000  3.24
Te: 0.657 0.157 0.500  -0.05
Te: 0.999 0.999 0.000  -0.08



No. 3
The following is a DFT calculation (PBE) of crystalline CrTeSe2 at its relaxed geometry.

Summary:
SG = No. 166
Volume = 22.31 Å³/atom
DOS(E_F) = 1.549 states/eV/atom
E_form (uncorrected) = 770 meV per atom
Total magnetic moment = 0.000 μB per formula unit

Lattice parameters (Å, degrees): 9.634 9.634 9.634 19.74 19.74 19.74
Fractional positions:
Se: 0.079 0.079 0.079
Se: 0.921 0.921 0.921
Te: 0.500 0.500 0.500
Cr: 0.000 0.000 0.000



No. 4
The following is a DFT calculation (PBE) of crystalline CrTeSe2 at its relaxed geometry.

Summary:
SG = No. 99
Volume = 22.21 Å³/atom
DOS(E_F) = 0.819 states/eV/atom
E_form (uncorrected) = 155 meV per atom
Total magnetic moment = 0.022 μB per formula unit

Lattice parameters (Å, degrees): 3.007 3.007 9.825 90.00 90.00 89.99
Fractional positions:
Cr: 0.500 0.500 0.763
Se: 0.500 0.500 0.249
Se: 0.000 0.000 0.906
Te: 0.000 0.000 0.582



No. 5
The following is a DFT calculation (PBE) of crystalline CrTe2Se at its relaxed geometry.

Summary:
SG = No. 123
Volume = 23.30 Å³/atom
DOS(E_F) = 0.636 states/eV/atom
E_form (uncorrected) = 396 meV per atom
Total magnetic moment = 3.937 μB per formula unit

Lattice parameters (Å, degrees): 5.245 5.245 3.387 90.00 90.00 89.99
Site moments in Bohr magnetons follow the coordinates.
Fractional positions:
Te: 0.000 0.000 0.000  -0.11
Te: 0.500 0.500 0.000  -0.11
Se: 0.000 0.500 0.500  -0.01
Cr: 0.500 0.000 0.500  3.80



No. 6
The following is a DFT calculation (PBE) of crystalline CrTe2Se at its relaxed geometry.

Summary:
SG = No. 166
Volume = 28.47 Å³/atom
DOS(E_F) = 0.672 states/eV/atom
E_form (uncorrected) = 20 meV per atom
Total magnetic moment = 3.060 μB per formula unit

Lattice parameters (Å, degrees): 8.670 8.670 8.670 26.44 26.44 26.44
Site moments in Bohr magnetons follow the coordinates.
Fractional positions:
Te: 0.108 0.108 0.108  -0.14
Te: 0.892 0.892 0.892  -0.14
Cr: 0.500 0.500 0.500  2.99
Se: 0.000 0.000 0.000  0.12



No. 7
The following is a DFT calculation (PBE) of crystalline CrTe2Se at its relaxed geometry.

Summary:
SG = No. 47
Volume = 31.32 Å³/atom
DOS(E_F) = 0.908 states/eV/atom
E_form (uncorrected) = 273 meV per atom
Total magnetic moment = 3.808 μB per formula unit

Lattice parameters (Å, degrees): 3.945 8.041 3.949 90.00 90.00 90.00
Site moments in Bohr magnetons follow the coordinates.
Fractional positions:
Te: 0.500 0.500 0.000  -0.04
Te: 0.000 0.000 0.000  -0.20
Cr: 0.500 0.000 0.500  3.73
Se: 0.000 0.500 0.500  0.00



No. 8
The following is a DFT calculation (PBE) of crystalline CrTe2Se at its relaxed geometry.

Summary:
SG = No. 122
Volume = 32.78 Å³/atom
DOS(E_F) = 1.107 states/eV/atom
E_form (uncorrected) = 309 meV per atom
Total magnetic moment = 3.148 μB per formula unit

Lattice parameters (Å, degrees): 6.196 6.196 8.115 67.56 67.56 90.00
Site moments in Bohr magnetons follow the coordinates.
Fractional positions:
Te: 0.579 0.125 0.250  -0.14
Te: 0.171 0.625 0.250  -0.14
Te: 0.875 0.829 0.750  -0.16
Te: 0.375 0.421 0.750  -0.17
Cr: 0.500 0.500 0.000  3.30
Cr: 0.250 0.750 0.500  3.30
Se: 0.000 0.000 0.000  -0.06
Se: 0.750 0.250 0.500  -0.06



Q: Which value of DOS(E_F) does entry 7 give?
A: 0.908 states/eV/atom



Q: Look up the total magnetic moment of the sixth one.
A: 3.060 μB per formula unit



Q: Among the records above, which one has the lowest DOS(E_F)?
A: number 2



Q: The lowest E_form (uncorrected) belongs to which entry?
A: CrTeSe